Entry 1:
Below is crystalline Ti2FeNiI at its relaxed geometry, with properties calculated at the PBE level.

The magnetization is 0.5 μB/cell. As for the space group: P4/mmm. The uncorrected energy comes out at -29.106 eV/cell.

Cell lengths 4.4970, 4.4970, 4.5357 Å; angles 90.00, 90.00, 90.00 degrees
Positions (direct):
Ti 0.0000 0.5000 0.0000
Ti 0.5000 0.0000 0.0000
Fe 0.0000 0.0000 0.0000
Ni 0.0000 0.0000 0.5000
I 0.5000 0.5000 0.5000


Entry 2:
Below is crystalline Cu2AsRu at its relaxed geometry, with properties calculated at the PBE level.

The magnetization is 0.0 μB/cell. As for the space group: Pm. The value obtained for the formation energy is 0.08 eV per atom.

Cell lengths 2.9064, 3.6595, 5.3893 Å; angles 90.00, 104.88, 90.00 degrees
Positions (direct):
Cu 0.0000 0.0000 0.0000
Cu 0.4015 0.5000 0.8004
As 0.2310 0.0000 0.4843
Ru 0.6484 0.5000 0.3082


Entry 3:
Below is crystalline MnSi2Br at its relaxed geometry, with properties calculated at the PBE level.

The magnetization is 3.1 μB/cell. As for the space group: Cmmm. The relative energy among the computed polymorphs comes out at 0.602 eV/atom.

Cell lengths 4.8855, 4.8855, 2.9497 Å; angles 90.00, 90.00, 104.12 degrees
Positions (direct):
Mn 0.0000 0.0000 0.0000
Si 0.0000 0.5000 0.5000
Si 0.5000 0.0000 0.5000
Br 0.5000 0.5000 0.0000